DFT (GGA+U) results for an optimized crystal structure of CrAsO4.

Output
Magnetic moment (μB/cell): 6.0
Uncorrected energy (eV per formula unit): -39.27
Space group: P-42c, No. 112

Cell lengths 4.3426, 4.3426, 9.2673 Å; angles 90.00, 90.00, 90.00 degrees
With the nearest neighbours (Å) after each atom.
Fractional positions:
As1 0.0000 0.5000 0.2500  4 O 1.73
As2 0.5000 0.0000 0.7500  4 O 1.73
O1 0.7902 0.7332 0.3648  1 As 1.73, 1 Cr 1.93
O2 0.2098 0.2668 0.3648  1 As 1.73, 1 Cr 1.93
O3 0.2098 0.7332 0.1352  1 As 1.73, 1 Cr 1.93
O4 0.7332 0.2098 0.6352  1 As 1.73, 1 Cr 1.93
O5 0.2668 0.2098 0.8648  1 As 1.73, 1 Cr 1.93
O6 0.7902 0.2668 0.1352  1 As 1.73, 1 Cr 1.93
O7 0.7332 0.7902 0.8648  1 As 1.73, 1 Cr 1.93
O8 0.2668 0.7902 0.6352  1 As 1.73, 1 Cr 1.93
Cr1 0.0000 0.0000 0.0000  4 O 1.93
Cr2 0.0000 0.0000 0.5000  4 O 1.93